ErB4: relaxed, PBE.

Lattice parameters (Å, degrees): 7.0546 7.0546 3.9913 90.00 90.00 90.00
Positions (direct):
1 B 0.0000 0.0000 0.7973
2 B 0.0000 0.0000 0.2027
3 B 0.1767 0.0384 0.5000
4 B 0.9132 0.4132 0.5000
5 B 0.5868 0.9132 0.5000
6 B 0.0384 0.8233 0.5000
7 B 0.5000 0.5000 0.7973
8 B 0.9616 0.1767 0.5000
9 B 0.4616 0.3233 0.5000
10 B 0.0868 0.5868 0.5000
11 B 0.4132 0.0868 0.5000
12 B 0.3233 0.5384 0.5000
13 B 0.6767 0.4616 0.5000
14 B 0.8233 0.9616 0.5000
15 B 0.5384 0.6767 0.5000
16 B 0.5000 0.5000 0.2027
17 Er 0.6818 0.1818 0.0000
18 Er 0.3182 0.8182 0.0000
19 Er 0.1818 0.3182 0.0000
20 Er 0.8182 0.6818 0.0000

Output
Energy above the most stable polymorph in this dataset (meV per atom): 0
Mass density (g/cm³): 7.04


Gd4Pt3Au2: relaxed, PBE.

Lattice parameters (Å, degrees): 8.0928 3.4866 8.0935 90.00 119.99 90.00
Positions (direct):
1 Pt 0.6301 0.0000 0.6105
2 Pt 0.3895 0.0000 0.0196
3 Pt 0.9804 0.0000 0.3699
4 Au 0.0000 0.0000 0.0000
5 Au 0.3333 0.5000 0.6667
6 Gd 0.7041 0.5000 0.9717
7 Gd 0.0283 0.5000 0.7324
8 Gd 0.6667 0.5000 0.3333
9 Gd 0.2676 0.5000 0.2959

Output
Energy of formation (eV/atom): -0.72
Mass density (g/cm³): 13.50


Nd6SbS2: relaxed, PBE.

Lattice parameters (Å, degrees): 5.3620 5.3620 11.0147 90.00 90.00 90.00
Positions (direct):
1 S 0.5000 0.5000 0.2561
2 S 0.5000 0.5000 0.7439
3 Nd 0.5000 0.5000 0.5000
4 Nd 0.5000 0.0000 0.1977
5 Nd 0.5000 0.5000 0.0000
6 Nd 0.0000 0.5000 0.1977
7 Nd 0.5000 0.0000 0.8023
8 Nd 0.0000 0.5000 0.8023
9 Sb 0.0000 0.0000 0.0000

Output
Final energy (eV per atom): -5.224
Mass density (g/cm³): 5.51


RbAgNO: relaxed, PBE.

Lattice parameters (Å, degrees): 3.7089 6.7655 6.4360 90.00 90.00 90.00
Positions (direct):
1 N 0.0000 0.9909 0.2562
2 N 0.0000 0.0091 0.7562
3 O 0.5000 0.6834 0.9882
4 O 0.5000 0.3166 0.4882
5 Ag 0.0000 0.1750 0.5000
6 Ag 0.0000 0.8250 0.0000
7 Rb 0.5000 0.7188 0.5096
8 Rb 0.5000 0.2812 0.0096

Output
Energy above the most stable polymorph in this dataset (meV per atom): 26
Mass density (g/cm³): 4.59


TmBeGa: relaxed, PBE.

Lattice parameters (Å, degrees): 4.3809 4.3809 4.3809 60.00 60.00 60.00
Positions (direct):
1 Ga 0.0000 0.0000 0.0000
2 Be 0.2500 0.2500 0.2500
3 Tm 0.7500 0.7500 0.7500

Output
Energy above the most stable polymorph in this dataset (meV per atom): 0
Mass density (g/cm³): 6.92


AgSb: relaxed, PBE.

Lattice parameters (Å, degrees): 4.4001 4.4001 4.4001 60.00 60.00 60.00
Positions (direct):
1 Sb 0.2500 0.2500 0.2500
2 Ag 0.0000 0.0000 0.0000

Output
Energy above the most stable polymorph in this dataset (meV per atom): 309
Mass density (g/cm³): 6.33


HgB4Pd: relaxed, PBE.

Lattice parameters (Å, degrees): 2.9908 2.9908 9.5200 90.00 90.00 120.00
Positions (direct):
1 B 0.6667 0.3333 0.1859
2 B 0.3333 0.6667 0.1859
3 B 0.6667 0.3333 0.8141
4 B 0.3333 0.6667 0.8141
5 Hg 0.0000 0.0000 0.5000
6 Pd 0.0000 0.0000 0.0000

Output
Energy above the most stable polymorph in this dataset (meV per atom): 0
Mass density (g/cm³): 7.89


LiNiAgTeSe2: relaxed, PBE.

Lattice parameters (Å, degrees): 7.0148 7.0148 10.5448 90.00 90.00 151.12
Positions (direct):
1 Ni 0.5000 0.5000 0.0000
2 Ni 0.5000 0.5000 0.5000
3 Se 0.1223 0.8777 0.4903
4 Se 0.1223 0.8777 0.0097
5 Se 0.8777 0.1223 0.5097
6 Se 0.8777 0.1223 0.9903
7 Ag 0.8812 0.1188 0.7500
8 Ag 0.1188 0.8812 0.2500
9 Li 0.7756 0.2244 0.2500
10 Li 0.2244 0.7756 0.7500
11 Te 0.4378 0.5622 0.2500
12 Te 0.5622 0.4378 0.7500

Output
Final energy (eV per atom): -3.659
Mass density (g/cm³): 6.08


PPbW4C2: relaxed, PBE.

Lattice parameters (Å, degrees): 3.2561 3.2561 12.6220 90.00 90.00 120.00
Positions (direct):
1 Pb 0.6667 0.3333 0.5000
2 C 0.3333 0.6667 0.7693
3 C 0.3333 0.6667 0.2307
4 W 0.6667 0.3333 0.1315
5 W 0.6667 0.3333 0.8685
6 W 0.0000 0.0000 0.3022
7 W 0.0000 0.0000 0.6978
8 P 0.0000 0.0000 0.0000

Output
Final energy (eV per atom): -9.681
Mass density (g/cm³): 14.29


Y3HgO: relaxed, PBE.

Lattice parameters (Å, degrees): 6.7363 6.7363 6.7363 60.00 60.00 60.00
Positions (direct):
1 Y 0.7620 0.2500 0.7380
2 Y 0.2380 0.7500 0.2620
3 Y 0.2620 0.2380 0.7500
4 Y 0.7380 0.7620 0.2500
5 Y 0.7500 0.2620 0.2380
6 Y 0.2500 0.7380 0.7620
7 O 0.5000 0.5000 0.5000
8 O 0.0000 0.0000 0.0000
9 Hg 0.2500 0.2500 0.2500
10 Hg 0.7500 0.7500 0.7500

Output
Final energy (eV per atom): -6.331
Mass density (g/cm³): 7.43


Li3Tb3SiSn2: relaxed, PBE.

Lattice parameters (Å, degrees): 7.2875 7.2875 4.4641 90.00 90.00 120.00
Positions (direct):
1 Tb 0.4069 0.0000 0.5000
2 Tb 0.0000 0.4069 0.5000
3 Tb 0.5931 0.5931 0.5000
4 Li 0.7758 0.0000 0.0000
5 Li 0.0000 0.7758 0.0000
6 Li 0.2242 0.2242 0.0000
7 Sn 0.3333 0.6667 0.0000
8 Sn 0.6667 0.3333 0.0000
9 Si 0.0000 0.0000 0.5000

Output
Final energy (eV per atom): -4.272
Mass density (g/cm³): 6.17


ZrNbTc2: relaxed, PBE.

Lattice parameters (Å, degrees): 4.5718 6.4728 13.7220 90.00 90.00 90.00
Positions (direct):
1 Zr 0.0000 0.0000 0.0000
2 Zr 0.5001 0.5000 0.8333
3 Zr 0.5000 0.5000 0.5000
4 Zr 0.4999 0.5000 0.1667
5 Zr 0.0000 0.0000 0.3333
6 Zr 0.0000 0.0000 0.6667
7 Tc 0.0000 0.2500 0.1667
8 Tc 0.4999 0.2500 0.3333
9 Tc 0.5001 0.7500 0.6667
10 Tc 0.5000 0.2500 0.0000
11 Tc 0.0000 0.2500 0.8333
12 Tc 0.0000 0.7500 0.5000
13 Tc 0.0000 0.7500 0.1667
14 Tc 0.4999 0.7500 0.3333
15 Tc 0.5001 0.2500 0.6667
16 Tc 0.0000 0.2500 0.5000
17 Tc 0.0000 0.7500 0.8333
18 Tc 0.5000 0.7500 0.0000
19 Nb 0.0000 0.5000 0.6667
20 Nb 0.4999 0.0000 0.1667
21 Nb 0.5000 0.0000 0.5000
22 Nb 0.5001 0.0000 0.8333
23 Nb 0.0000 0.5000 0.3333
24 Nb 0.0000 0.5000 0.0000

Output
Energy of formation (eV/atom): -0.36
Energy above the most stable polymorph in this dataset (meV per atom): 7
Mass density (g/cm³): 9.33


> The highest mass density belongs to which entry?

PPbW4C2


> Number 7 is which compound?

HgB4Pd


> Which of these has the lowest mass density?

RbAgNO


> The lowest mass density belongs to which entry?

RbAgNO